# Dy5TlRu4

Crystalline Dy5TlRu4 at its relaxed geometry (PBE, Alexandria).

abc: 3.4115 3.4115 18.3550
angles: 90.00 90.00 90.00
Space group P4/mmm (No. 123)
Symmetry-distinct sites (fractional):
Dy: 0.0000 0.0000 0.0000 (multiplicity 1)
Dy: 0.0000 0.0000 0.1836 (multiplicity 2)
Dy: 0.0000 0.0000 0.3673 (multiplicity 2)
Tl: 0.5000 0.5000 0.5000 (multiplicity 1)
Ru: 0.5000 0.5000 0.0930 (multiplicity 2)
Ru: 0.5000 0.5000 0.2812 (multiplicity 2)

Spin magnetization in μB per formula unit: 0.00
Density of states at the Fermi level in states/eV per cell: 6.0
Formation enthalpy at 0 K in meV/atom: -369.1